! Zn2HgIr SCAN PBEsol geometry; values from VASP
&SYSTEM
  ibrav = 0, nat = 16, ntyp = 3
/
ATOMIC_SPECIES
Zn 65.41 Zn.upf
Hg 200.59 Hg.upf
Ir 192.22 Ir.upf
ATOMIC_POSITIONS crystal
Zn 0.0000 0.0000 0.0000
Zn 0.0000 0.5000 0.5000
Zn 0.2500 0.2500 0.2500
Zn 0.2500 0.7500 0.7500
Zn 0.5000 0.0000 0.5000
Zn 0.5000 0.5000 0.0000
Zn 0.7500 0.2500 0.7500
Zn 0.7500 0.7500 0.2500
Hg 0.2500 0.2500 0.7500
Hg 0.2500 0.7500 0.2500
Hg 0.7500 0.2500 0.2500
Hg 0.7500 0.7500 0.7500
Ir 0.0000 0.0000 0.5000
Ir 0.0000 0.5000 0.0000
Ir 0.5000 0.0000 0.0000
Ir 0.5000 0.5000 0.5000
CELL_PARAMETERS angstrom
6.2748 0.0000 0.0000
0.0000 6.2748 0.0000
0.0000 0.0000 6.2748
! Raw total energy in eV per atom: -41.35
! ΔH_f (0 K) in eV per atom: 0.228
! Crystal system: cubic
! SG: F-43m (216)